[1]
VASP calculation (GGA-PBE) on crystalline CrGe2Se at its relaxed geometry.

Structure (CIF):
```
data_CrGe2Se
_cell_length_a 6.0946
_cell_length_b 6.0946
_cell_length_c 10.7474
_cell_angle_alpha 90.00
_cell_angle_beta 90.00
_cell_angle_gamma 90.00
_symmetry_space_group_name_H-M 'I -4 2 d'
_symmetry_Int_Tables_number 122
_symmetry_space_group_name_Hall 'I -4 2bw'
loop_
_atom_site_label
_atom_site_type_symbol
_atom_site_fract_x
_atom_site_fract_y
_atom_site_fract_z
Cr1 Cr 0.0000 0.0000 0.0000
Ge1 Ge 0.2378 0.2500 0.1250
Se1 Se 0.0000 0.0000 0.5000
```

Output
ΔE_f (raw) = 0.4568 eV/atom
Mass density = 4.6 Mg/m³
DOS(E_F) = 0.7105 states/eV/atom
VASP energy = -5.13 eV per atom


[2]
VASP calculation (GGA-PBE) on crystalline CaOsPt2 at its relaxed geometry.

Structure (CIF):
```
data_CaOsPt2
_cell_length_a 2.8064
_cell_length_b 4.7973
_cell_length_c 10.3794
_cell_angle_alpha 90.00
_cell_angle_beta 90.00
_cell_angle_gamma 90.00
_symmetry_space_group_name_H-M 'I m m 2'
_symmetry_Int_Tables_number 44
loop_
_symmetry_equiv_pos_as_xyz
'x,y,z'
'-x,-y,z'
'-x,y,z'
'x,-y,z'
'x+1/2,y+1/2,z+1/2'
'-x+1/2,-y+1/2,z+1/2'
'-x+1/2,y+1/2,z+1/2'
'x+1/2,-y+1/2,z+1/2'
loop_
_atom_site_label
_atom_site_type_symbol
_atom_site_fract_x
_atom_site_fract_y
_atom_site_fract_z
Ca1 Ca 0.0000 0.0000 0.0000
Os1 Os 0.0000 0.5000 0.7748
Pt1 Pt 0.0000 0.0000 0.4930
Pt2 Pt 0.0000 0.5000 0.2303
```

Output
Mass density = 14.7 Mg/m³
DOS(E_F) = 1.0821 states/eV/atom
VASP energy = -6.35 eV per atom
Formation energy = -2.5 kJ/mol of atoms


[3]
VASP calculation (GGA-PBE) on crystalline CuSiHg2 at its relaxed geometry.

Structure (CIF):
```
data_CuSiHg2
_cell_length_a 6.7668
_cell_length_b 6.7668
_cell_length_c 6.7668
_cell_angle_alpha 90.00
_cell_angle_beta 90.00
_cell_angle_gamma 90.00
_symmetry_space_group_name_H-M 'F -4 3 m'
_symmetry_Int_Tables_number 216
_symmetry_space_group_name_Hall 'F -4 2 3'
loop_
_atom_site_label
_atom_site_type_symbol
_atom_site_fract_x
_atom_site_fract_y
_atom_site_fract_z
Cu1 Cu 0.0000 0.0000 0.0000
Si1 Si 0.2500 0.2500 0.2500
Hg1 Hg 0.0000 0.0000 0.5000
Hg2 Hg 0.2500 0.2500 0.7500
```

Output
ΔE_f (raw) = 0.5175 eV/atom
Mass density = 10.6 Mg/m³
DOS(E_F) = 0.2299 states/eV/atom
VASP energy = -2.01 eV per atom


[4]
VASP calculation (GGA-PBE) on crystalline HoMn2V at its relaxed geometry.

Structure (CIF):
```
data_HoMn2V
_cell_length_a 3.0384
_cell_length_b 3.0384
_cell_length_c 25.0710
_cell_angle_alpha 90.00
_cell_angle_beta 90.00
_cell_angle_gamma 120.00
_symmetry_space_group_name_H-M 'R -3 m'
_symmetry_Int_Tables_number 166
_symmetry_space_group_name_Hall '-R 3 2"'
loop_
_atom_site_label
_atom_site_type_symbol
_atom_site_fract_x
_atom_site_fract_y
_atom_site_fract_z
Ho1 Ho 0.0000 0.0000 0.0000
Mn1 Mn 0.0000 0.0000 0.2368
V1 V 0.0000 0.0000 0.5000
```

Output
Mass density = 8.1 Mg/m³
DOS(E_F) = 1.4121 states/eV/atom
VASP energy = -7.56 eV per atom
Formation energy = 43.7 kJ/mol of atoms